(1)
A relaxed LaTbCo10 crystal, computed with GGA-PBE.

Summary:
Space group   No. 47

Cell lengths 3.9492, 4.9697, 8.6691 Å; angles 90.00, 90.00, 90.00 degrees
Site moments in Bohr magnetons follow the coordinates.
Atoms (fractional coordinates):
Co (0.0000, 0.5000, 0.8285)  1.49
Co (0.5000, 0.5000, 0.0000)  1.49
Co (0.5000, 0.2576, 0.2588)  1.51
Co (0.5000, 0.7424, 0.7412)  1.51
Co (0.0000, 0.0000, 0.3333)  1.52
Co (0.0000, 0.0000, 0.6667)  1.52
Co (0.0000, 0.5000, 0.1715)  1.49
Co (0.5000, 0.2576, 0.7412)  1.51
Co (0.5000, 0.0000, 0.5000)  1.52
Co (0.5000, 0.7424, 0.2588)  1.51
La (0.0000, 0.0000, 0.0000)  -0.23
Tb (0.0000, 0.5000, 0.5000)  -0.35

(2)
A relaxed LaTb2Co crystal, computed with GGA-PBE.

Summary:
Space group   No. 63

Cell lengths 3.6899, 6.3985, 9.7064 Å; angles 90.00, 90.00, 106.70 degrees
Atoms (fractional coordinates):
Co (0.7482, 0.4961, 0.2500)
Co (0.2518, 0.5039, 0.7500)
Tb (0.1442, 0.2873, 0.4255)
Tb (0.8558, 0.7127, 0.9255)
Tb (0.8558, 0.7127, 0.5745)
Tb (0.1442, 0.2873, 0.0745)
La (0.4106, 0.8217, 0.2500)
La (0.5894, 0.1783, 0.7500)

(3)
A relaxed La8TbCo2 crystal, computed with GGA-PBE.

Summary:
Space group   No. 12

Cell lengths 7.3597, 7.5910, 7.5910 Å; angles 68.74, 106.13, 106.13 degrees
Atoms (fractional coordinates):
La (0.3227, 0.8708, 0.8708)
La (0.1744, 0.3187, 0.3187)
La (0.6889, 0.5862, 0.1925)
La (0.6889, 0.1925, 0.5862)
La (0.8256, 0.6813, 0.6813)
La (0.3111, 0.4138, 0.8075)
La (0.3111, 0.8075, 0.4138)
La (0.6773, 0.1292, 0.1292)
Co (0.6187, 0.8120, 0.8120)
Co (0.3813, 0.1880, 0.1880)
Tb (0.0000, 0.0000, 0.0000)

(4)
A relaxed LaTb2Co crystal, computed with GGA-PBE.

Summary:
Space group   No. 123

Cell lengths 3.4391, 3.4391, 9.1236 Å; angles 90.00, 90.00, 90.00 degrees
Site moments in Bohr magnetons follow the coordinates.
Atoms (fractional coordinates):
Tb (0.0000, 0.0000, 0.8240)  -0.10
Tb (0.0000, 0.0000, 0.1760)  -0.10
Co (0.5000, 0.5000, 0.0000)  0.87
La (0.5000, 0.5000, 0.5000)  0.02

(5)
A relaxed LaTb3Co8 crystal, computed with GGA-PBE.

Summary:
Space group   No. 160

Cell lengths 5.1042, 5.1042, 8.8640 Å; angles 73.29, 73.29, 60.04 degrees
Site moments in Bohr magnetons follow the coordinates.
Atoms (fractional coordinates):
La (0.8747, 0.8747, 0.3760)  -0.21
Tb (0.5000, 0.5000, 0.4999)  -0.32
Tb (0.3753, 0.3753, 0.8741)  -0.30
Tb (0.9998, 0.9998, 0.0007)  -0.31
Co (0.4313, 0.9380, 0.6927)  1.14
Co (0.1871, 0.1871, 0.4387)  1.05
Co (0.6879, 0.6879, 0.9364)  1.15
Co (0.4380, 0.9418, 0.1821)  1.09
Co (0.4381, 0.4381, 0.1820)  1.09
Co (0.9418, 0.4380, 0.1821)  1.09
Co (0.9380, 0.4313, 0.6927)  1.14
Co (0.9380, 0.9380, 0.6928)  1.14

(6)
A relaxed La2TbCo9 crystal, computed with GGA-PBE.

Summary:
Space group   No. 166

Cell lengths 4.9940, 4.9940, 8.8956 Å; angles 73.70, 73.70, 60.00 degrees
Site moments in Bohr magnetons follow the coordinates.
Atoms (fractional coordinates):
La (0.1398, 0.1398, 0.5807)  -0.25
La (0.8602, 0.8602, 0.4193)  -0.25
Co (0.0818, 0.5752, 0.7677)  1.27
Co (0.9182, 0.4248, 0.2323)  1.27
Co (0.5752, 0.5752, 0.7677)  1.27
Co (0.6675, 0.6675, 0.9975)  1.45
Co (0.5000, 0.5000, 0.5000)  0.84
Co (0.3325, 0.3325, 0.0025)  1.45
Co (0.4248, 0.9182, 0.2323)  1.27
Co (0.5752, 0.0818, 0.7677)  1.27
Co (0.4248, 0.4248, 0.2323)  1.27
Tb (0.0000, 0.0000, 0.0000)  -0.30

DOS(E_F) / states/eV/atom: 1.62; 1.39; 1.14; 0.93; 1.52; 1.51
Magnetic moment / μB/cell: 13.97; 0.00; 0.00; 0.69; 7.34; 9.94
Raw total energy / eV/atom: -6.780; -5.434; -5.272; -5.375; -6.443; -6.615